# GGA-PBE LaYSc6, relaxed
# total moment = 0.1438 μB/atom
# formation enthalpy at 0 K = 0.04 eV/atom
# total energy = -49.047 eV/cell
# Fermi-level density of states = 15.91 states/eV/cell
data_LaYSc6
_chemical_formula_sum 'La1 Y1 Sc6'
_space_group_name_H-M_alt 'P -6 m 2'
_space_group_IT_number 187
_space_group_name_Hall 'P -6 2'
_cell_length_a 6.8213
_cell_length_b 6.8213
_cell_length_c 5.3564
_cell_angle_alpha 90.00
_cell_angle_beta 90.00
_cell_angle_gamma 120.00
loop_
_atom_site_label
_atom_site_type_symbol
_atom_site_fract_x
_atom_site_fract_y
_atom_site_fract_z
La1 La 0.0000 0.0000 0.0000
Y1 Y 0.3333 0.6667 0.5000
Sc1 Sc 0.3431 0.1715 0.5000
Sc2 Sc 0.5046 0.0092 0.0000